AgAs3H2O9 at its PBEsol-relaxed geometry, computed with meta-GGA SCAN.

As for the crystal system: triclinic. The value obtained for the total energy is -11.440 eV/atom.

a = 7.2524 Å, b = 7.5934 Å, c = 7.9143 Å
α = 111.13°, β = 106.54°, γ = 106.10°
Fractional positions:
Ag: 0.1926 0.1842 0.4588
Ag: 0.8074 0.8158 0.5412
As: 0.1322 0.6556 0.3368
As: 0.3115 0.1648 0.0472
As: 0.3454 0.5673 0.0239
As: 0.6546 0.4327 0.9761
As: 0.6885 0.8352 0.9528
As: 0.8678 0.3444 0.6632
H: 0.1332 0.7998 0.8879
H: 0.3855 0.6441 0.5808
H: 0.6145 0.3559 0.4192
H: 0.8668 0.2002 0.1121
O: 0.1006 0.8655 0.4603
O: 0.1064 0.5613 0.8510
O: 0.1061 0.9203 0.8786
O: 0.1788 0.3138 0.9970
O: 0.2259 0.5392 0.4718
O: 0.3115 0.7263 0.2387
O: 0.3991 0.2117 0.2864
O: 0.4128 0.4340 0.8175
O: 0.4942 0.8231 0.0438
O: 0.5058 0.1769 0.9562
O: 0.5872 0.5660 0.1825
O: 0.6009 0.7883 0.7136
O: 0.6885 0.2737 0.7613
O: 0.7741 0.4608 0.5282
O: 0.8212 0.6862 0.0030
O: 0.8939 0.0797 0.1214
O: 0.8936 0.4387 0.1490
O: 0.8994 0.1345 0.5397